1.
{
  "formula": "Re3SiHg",
  "functional": "PBE",
  "state": "relaxed",
  "n_ef_per_ev_cell": 6.7,
  "formation_energy_uncorrected_ev_per_fu": 17.1,
  "magnetic_moment_mub_per_fu": 4.2,
  "relative_energy_mev_per_atom": 2086,
  "lattice": [[4.9052, 0.0000, 0.0000], [0.0000, 4.9052, 0.0000], [0.0000, 0.0000, 4.9052]],
  "species": ["Re", "Re", "Re", "Si", "Hg"],
  "fractional_positions": [[0.0000, 0.0000, 0.5000], [0.0000, 0.5000, 0.0000], [0.5000, 0.0000, 0.0000], [0.5000, 0.5000, 0.5000], [0.0000, 0.0000, 0.0000]]
}

2.
{
  "formula": "ReSiHg2",
  "functional": "PBE",
  "state": "relaxed",
  "n_ef_per_ev_cell": 2.0,
  "formation_energy_uncorrected_ev_per_fu": 3.2,
  "magnetic_moment_mub_per_fu": 0.0,
  "lattice": [[2.8230, 0.0000, 0.0000], [0.0000, 4.7546, 0.0000], [0.0000, 0.0000, 5.5122]],
  "species": ["Re", "Si", "Hg", "Hg"],
  "fractional_positions": [[0.0000, 0.0000, 0.0000], [0.5000, 0.5000, 0.0000], [0.0000, 0.5000, 0.5000], [0.5000, 0.0000, 0.5000]]
}

3.
{
  "formula": "Re3SiHg",
  "functional": "PBE",
  "state": "relaxed",
  "n_ef_per_ev_cell": 4.4,
  "formation_energy_uncorrected_ev_per_fu": 6.7,
  "magnetic_moment_mub_per_fu": 0.0,
  "relative_energy_mev_per_atom": 0,
  "lattice": [[4.4581, 0.0000, 0.0000], [0.0000, 4.4581, 0.0000], [0.0000, 0.0000, 4.4581]],
  "species": ["Re", "Re", "Re", "Si", "Hg"],
  "fractional_positions": [[0.0000, 0.0000, 0.5000], [0.0000, 0.5000, 0.0000], [0.5000, 0.0000, 0.0000], [0.0000, 0.0000, 0.0000], [0.5000, 0.5000, 0.5000]]
}

4.
{
  "formula": "Re2SiHg",
  "functional": "PBE",
  "state": "relaxed",
  "n_ef_per_ev_cell": 2.7,
  "formation_energy_uncorrected_ev_per_fu": 2.0,
  "magnetic_moment_mub_per_fu": 0.0,
  "relative_energy_mev_per_atom": 214,
  "lattice": [[2.9499, 0.0000, 0.0000], [0.0000, 4.2947, 0.0000], [-1.4644, 0.0000, 5.1590]],
  "species": ["Re", "Re", "Si", "Hg"],
  "fractional_positions": [[0.0000, 0.0000, 0.0000], [0.4101, 0.5000, 0.8078], [0.1130, 0.5000, 0.2185], [0.7429, 0.0000, 0.4786]]
}

5.
{
  "formula": "ReSiHg2",
  "functional": "PBE",
  "state": "relaxed",
  "n_ef_per_ev_cell": 2.6,
  "formation_energy_uncorrected_ev_per_fu": 3.6,
  "magnetic_moment_mub_per_fu": 0.8,
  "lattice": [[3.9020, 0.0000, 0.0000], [0.0000, 3.9020, 0.0000], [0.0000, 0.0000, 4.7384]],
  "species": ["Re", "Si", "Hg", "Hg"],
  "fractional_positions": [[0.0000, 0.0000, 0.0000], [0.5000, 0.5000, 0.0000], [0.0000, 0.5000, 0.5000], [0.5000, 0.0000, 0.5000]]
}

6.
{
  "formula": "ReSi4Hg",
  "functional": "PBE",
  "state": "relaxed",
  "n_ef_per_ev_cell": 4.7,
  "formation_energy_uncorrected_ev_per_fu": 4.7,
  "magnetic_moment_mub_per_fu": 0.0,
  "lattice": [[0.0000, 3.5820, 3.5820], [3.5820, 0.0000, 3.5820], [3.5820, 3.5820, 0.0000]],
  "species": ["Re", "Si", "Si", "Si", "Si", "Hg"],
  "fractional_positions": [[0.0000, 0.0000, 0.0000], [0.1205, 0.6265, 0.6265], [0.6265, 0.1205, 0.6265], [0.6265, 0.6265, 0.1205], [0.6265, 0.6265, 0.6265], [0.2500, 0.2500, 0.2500]]
}

7.
{
  "formula": "Re2SiHg",
  "functional": "PBE",
  "state": "relaxed",
  "n_ef_per_ev_cell": 2.9,
  "formation_energy_uncorrected_ev_per_fu": 3.0,
  "magnetic_moment_mub_per_fu": 0.0,
  "relative_energy_mev_per_atom": 447,
  "lattice": [[4.4379, 0.0000, 0.0000], [0.0000, 4.4379, 0.0000], [0.0000, 0.0000, 3.1295]],
  "species": ["Re", "Re", "Si", "Hg"],
  "fractional_positions": [[0.0000, 0.5000, 0.0000], [0.5000, 0.0000, 0.0000], [0.0000, 0.0000, 0.5000], [0.5000, 0.5000, 0.5000]]
}

8.
{
  "formula": "ReSi2Hg",
  "functional": "PBE",
  "state": "relaxed",
  "n_ef_per_ev_cell": 1.7,
  "formation_energy_uncorrected_ev_per_fu": 1.0,
  "magnetic_moment_mub_per_fu": 0.0,
  "lattice": [[3.0933, 0.0000, 0.0000], [0.0000, 3.0933, 0.0000], [0.0000, 0.0000, 7.2765]],
  "species": ["Re", "Si", "Si", "Hg"],
  "fractional_positions": [[0.0000, 0.0000, 0.0000], [0.5000, 0.5000, 0.1830], [0.5000, 0.5000, 0.8170], [0.0000, 0.0000, 0.5000]]
}

9.
{
  "formula": "ReSiHg3",
  "functional": "PBE",
  "state": "relaxed",
  "n_ef_per_ev_cell": 2.9,
  "formation_energy_uncorrected_ev_per_fu": 7.2,
  "magnetic_moment_mub_per_fu": 4.3,
  "relative_energy_mev_per_atom": 67,
  "lattice": [[5.0678, 0.0000, 0.0000], [0.0000, 5.0678, 0.0000], [0.0000, 0.0000, 5.0678]],
  "species": ["Re", "Si", "Hg", "Hg", "Hg"],
  "fractional_positions": [[0.0000, 0.0000, 0.0000], [0.5000, 0.5000, 0.5000], [0.0000, 0.5000, 0.5000], [0.5000, 0.0000, 0.5000], [0.5000, 0.5000, 0.0000]]
}

10.
{
  "formula": "ReSiHg2",
  "functional": "PBE",
  "state": "relaxed",
  "n_ef_per_ev_cell": 1.3,
  "formation_energy_uncorrected_ev_per_fu": 1.1,
  "magnetic_moment_mub_per_fu": 0.0,
  "lattice": [[-1.3774, 2.0525, 7.2257], [1.3774, -2.0525, 7.2257], [1.3774, 2.0525, -7.2257]],
  "species": ["Re", "Si", "Hg", "Hg"],
  "fractional_positions": [[0.0000, 0.0000, 0.0000], [0.5000, 0.5000, 0.0000], [0.1803, 0.6803, 0.5000], [0.8197, 0.3197, 0.5000]]
}

11.
{
  "formula": "ReSi2Hg",
  "functional": "PBE",
  "state": "relaxed",
  "n_ef_per_ev_cell": 3.1,
  "formation_energy_uncorrected_ev_per_fu": 1.8,
  "magnetic_moment_mub_per_fu": 0.0,
  "lattice": [[1.4388, 0.8307, 10.0905], [-1.4388, 0.8307, 10.0905], [0.0000, -1.6614, 10.0905]],
  "species": ["Re", "Si", "Si", "Hg"],
  "fractional_positions": [[0.0000, 0.0000, 0.0000], [0.4625, 0.4625, 0.4625], [0.7261, 0.7261, 0.7261], [0.2469, 0.2469, 0.2469]]
}

12.
{
  "formula": "Re2SiHg",
  "functional": "PBE",
  "state": "relaxed",
  "n_ef_per_ev_cell": 2.4,
  "formation_energy_uncorrected_ev_per_fu": 3.4,
  "magnetic_moment_mub_per_fu": 0.0,
  "relative_energy_mev_per_atom": 566,
  "lattice": [[0.0000, 3.1832, 3.1832], [3.1832, 0.0000, 3.1832], [3.1832, 3.1832, 0.0000]],
  "species": ["Re", "Re", "Si", "Hg"],
  "fractional_positions": [[0.0000, 0.0000, 0.0000], [0.2500, 0.2500, 0.2500], [0.7500, 0.7500, 0.7500], [0.5000, 0.5000, 0.5000]]
}